--- one ---
Computed, not measured: BeAg2Hg after structural relaxation at the GGA-PBE level of DFT.

The density is 10.468 g cm⁻³.

The space group is P4/mmm (No. 123) and the conventional cell measures 4.041, 4.041 and 4.132 Å, with angles of 90.00, 90.00 and 90.00 degrees. The inequivalent atoms are Be at (0.000, 0.000, 0.000), Ag at (0.000, 0.500, 0.500) and Hg at (0.500, 0.500, 0.000).

=====

--- two ---
Computed, not measured: BeAg2Hg after structural relaxation at the GGA-PBE level of DFT.

The density is 10.449 g cm⁻³.

The space group is F-43m (No. 216) and the conventional cell measures 6.466, 6.466 and 6.466 Å, with angles of 90.00, 90.00 and 90.00 degrees. The inequivalent atoms are Be at (0.000, 0.000, 0.000), Ag at (0.000, 0.000, 0.500), Ag at (0.250, 0.250, 0.250) and Hg at (0.250, 0.250, 0.750).

=====

Quick one: most stable of them? one